[1]
Computed, not measured: a relaxed Ac2PrDy crystal at the PBE level of DFT.

The structure in POSCAR format:
```
Ac2PrDy
1.0
3.8749 0.0000 0.0000
0.0000 3.8749 0.0000
0.0000 0.0000 10.3823
Ac Pr Dy
2 1 1
direct
0.0000 0.0000 0.2441 Ac
0.0000 0.0000 0.7559 Ac
0.5000 0.5000 0.5000 Pr
0.5000 0.5000 0.0000 Dy
```

Summary:
Its offset from the most stable computed form is 0.008 eV/atom. Its spin magnetization is 0.00 μB/f.u. For the volume, the calculation gives 38.97 Å³/atom. As for the calculated density: 8.07 g/cm3. Its crystal system is tetragonal. Its final energy is -4.36 eV per atom.


[2]
Computed, not measured: a relaxed Ac2PrDy4 crystal at the PBE level of DFT.

The structure in POSCAR format:
```
Ac2PrDy4
1.0
-5.0612 5.0612 5.0758
5.0612 -5.0612 5.0758
5.0612 5.0612 -5.0758
Ac Pr Dy
4 2 8
direct
0.3750 0.2436 0.3686 Ac
0.7564 0.1250 0.1314 Ac
0.8750 0.0064 0.6314 Ac
0.9936 0.6250 0.8686 Ac
0.2500 0.7500 0.5000 Pr
0.5000 0.5000 0.0000 Pr
0.1349 0.3880 0.0902 Dy
0.1380 0.3849 0.5902 Dy
0.2977 0.0446 0.9098 Dy
0.4523 0.8620 0.2469 Dy
0.6120 0.7023 0.7469 Dy
0.6151 0.2054 0.7531 Dy
0.7946 0.5477 0.4098 Dy
0.9554 0.8651 0.2531 Dy
```

Summary:
Its spin magnetization is 0.00 μB/f.u. For the volume, the calculation gives 37.15 Å³/atom. As for the calculated density: 7.95 g/cm3. Its crystal system is tetragonal. Its final energy is -4.18 eV per atom.


[3]
Computed, not measured: a relaxed AcPr5Dy3 crystal at the PBE level of DFT.

The structure in POSCAR format:
```
AcPr5Dy3
1.0
-3.7128 9.0186 4.8092
3.7128 -9.0186 4.8092
3.7128 9.0186 -4.8092
Ac Pr Dy
2 10 6
direct
0.3524 0.1024 0.2500 Ac
0.6476 0.8976 0.7500 Ac
0.1567 0.3318 0.3402 Pr
0.1567 0.8165 0.8249 Pr
0.2820 0.5320 0.7500 Pr
0.4916 0.3318 0.6751 Pr
0.4916 0.8165 0.1598 Pr
0.5084 0.1835 0.8402 Pr
0.5084 0.6682 0.3249 Pr
0.7180 0.4680 0.2500 Pr
0.8433 0.1835 0.1751 Pr
0.8433 0.6682 0.6598 Pr
0.0000 0.0000 0.5000 Dy
0.0000 0.5000 0.0000 Dy
0.1704 0.2442 0.9261 Dy
0.1819 0.7558 0.4261 Dy
0.8181 0.2442 0.5739 Dy
0.8296 0.7558 0.0739 Dy
```

Summary:
Its spin magnetization is 0.00 μB/f.u. For the volume, the calculation gives 35.78 Å³/atom. As for the calculated density: 7.32 g/cm3. Its crystal system is orthorhombic. Its final energy is -4.51 eV per atom.


[4]
Computed, not measured: a relaxed AcPr2Dy crystal at the PBE level of DFT.

The structure in POSCAR format:
```
AcPr2Dy
1.0
5.2660 0.0000 0.0000
0.0000 5.2660 0.0000
0.0000 0.0000 5.3069
Ac Pr Dy
1 2 1
direct
0.0000 0.0000 0.0000 Ac
0.0000 0.5000 0.5000 Pr
0.5000 0.0000 0.5000 Pr
0.5000 0.5000 0.0000 Dy
```

Summary:
Its offset from the most stable computed form is 0.004 eV/atom. Its spin magnetization is 0.00 μB/f.u. For the volume, the calculation gives 36.79 Å³/atom. As for the calculated density: 7.57 g/cm3. Its crystal system is tetragonal. Its final energy is -4.54 eV per atom.


[5]
Computed, not measured: a relaxed AcPr12Dy5 crystal at the PBE level of DFT.

The structure in POSCAR format:
```
AcPr12Dy5
1.0
7.8045 -7.8227 0.0000
7.8045 7.8227 0.0000
0.0000 0.0000 5.2096
Ac Pr Dy
1 12 5
direct
0.0000 0.0000 0.0000 Ac
0.0022 0.6645 0.0000 Pr
0.1699 0.1699 0.5000 Pr
0.1704 0.5026 0.5000 Pr
0.3355 0.9978 0.0000 Pr
0.3367 0.3367 0.0000 Pr
0.4974 0.8296 0.5000 Pr
0.5026 0.1704 0.5000 Pr
0.6633 0.6633 0.0000 Pr
0.6645 0.0022 0.0000 Pr
0.8296 0.4974 0.5000 Pr
0.8301 0.8301 0.5000 Pr
0.9978 0.3355 0.0000 Pr
0.1703 0.8297 0.5000 Dy
0.3332 0.6668 0.0000 Dy
0.5000 0.5000 0.5000 Dy
0.6668 0.3332 0.0000 Dy
0.8297 0.1703 0.5000 Dy
```

Summary:
Its spin magnetization is 0.00 μB/f.u. For the volume, the calculation gives 35.34 Å³/atom. As for the calculated density: 7.13 g/cm3. Its crystal system is orthorhombic. Its final energy is -4.67 eV per atom.


[6]
Computed, not measured: a relaxed Ac5Pr4Dy crystal at the PBE level of DFT.

The structure in POSCAR format:
```
Ac5Pr4Dy
1.0
4.4690 0.0000 0.0000
0.0000 4.4690 0.0000
0.0000 0.0000 19.9326
Ac Pr Dy
5 4 1
direct
0.0000 0.0000 0.0000 Ac
0.0000 0.0000 0.1999 Ac
0.0000 0.0000 0.4027 Ac
0.0000 0.0000 0.5973 Ac
0.0000 0.0000 0.8001 Ac
0.5000 0.5000 0.1002 Pr
0.5000 0.5000 0.2998 Pr
0.5000 0.5000 0.7002 Pr
0.5000 0.5000 0.8998 Pr
0.5000 0.5000 0.5000 Dy
```

Summary:
Its spin magnetization is 0.00 μB/f.u. For the volume, the calculation gives 39.81 Å³/atom. As for the calculated density: 7.76 g/cm3. Its crystal system is tetragonal. Its final energy is -4.33 eV per atom.


[7]
Computed, not measured: a relaxed AcPrDyPu crystal at the PBE level of DFT.

The structure in POSCAR format:
```
AcPrDyPu
1.0
0.0000 4.1329 4.1329
4.1329 0.0000 4.1329
4.1329 4.1329 0.0000
Ac Pr Dy Pu
1 1 1 1
direct
0.0000 0.0000 0.0000 Ac
0.7500 0.7500 0.7500 Pr
0.2500 0.2500 0.2500 Dy
0.5000 0.5000 0.5000 Pu
```

Summary:
Its spin magnetization is 7.34 μB/f.u. For the volume, the calculation gives 35.30 Å³/atom. As for the calculated density: 9.11 g/cm3. Its crystal system is cubic. Its final energy is -6.68 eV per atom.


[8]
Computed, not measured: a relaxed AcPr2DyS4 crystal at the PBE level of DFT.

The structure in POSCAR format:
```
AcPr2DyS4
1.0
7.0958 0.0000 0.0000
0.0000 4.0611 0.0000
-2.3290 0.0000 6.8321
Ac Pr Dy S
1 2 1 4
direct
0.0000 0.0000 0.0000 Ac
0.5000 0.0000 0.5000 Pr
0.5000 0.5000 0.0000 Pr
0.0000 0.5000 0.5000 Dy
0.2392 0.0000 0.7318 S
0.2505 0.5000 0.2656 S
0.7495 0.5000 0.7344 S
0.7608 0.0000 0.2682 S
```

Summary:
Its spin magnetization is 0.00 μB/f.u. For the volume, the calculation gives 24.61 Å³/atom. As for the calculated density: 6.74 g/cm3. Its crystal system is monoclinic. Its final energy is -6.33 eV per atom.


[9]
Computed, not measured: a relaxed Ac3Pr3DyS8 crystal at the PBE level of DFT.

The structure in POSCAR format:
```
Ac3Pr3DyS8
1.0
4.1449 2.3930 6.9359
-4.1449 2.3930 6.9359
0.0000 -4.7861 6.9359
Ac Pr Dy S
3 3 1 8
direct
0.0000 0.5000 0.5000 Ac
0.5000 0.0000 0.5000 Ac
0.5000 0.5000 0.0000 Ac
0.0000 0.0000 0.5000 Pr
0.0000 0.5000 0.0000 Pr
0.5000 0.0000 0.0000 Pr
0.5000 0.5000 0.5000 Dy
0.2463 0.2463 0.2463 S
0.2562 0.7367 0.7367 S
0.2633 0.2633 0.7438 S
0.2633 0.7438 0.2633 S
0.7367 0.2562 0.7367 S
0.7367 0.7367 0.2562 S
0.7438 0.2633 0.2633 S
0.7537 0.7537 0.7537 S
```

Summary:
Its spin magnetization is 0.00 μB/f.u. For the volume, the calculation gives 27.52 Å³/atom. As for the calculated density: 6.13 g/cm3. Its crystal system is trigonal. Its final energy is -6.33 eV per atom.


[10]
Computed, not measured: a relaxed Ac3Pr2DyS6 crystal at the PBE level of DFT.

The structure in POSCAR format:
```
Ac3Pr2DyS6
1.0
3.5999 -6.2467 0.0000
3.5999 6.2467 0.0000
-2.4142 0.0000 6.8494
Ac Pr Dy S
3 2 1 6
direct
0.0000 0.0000 0.0000 Ac
0.3296 0.6704 0.0000 Ac
0.6704 0.3296 0.0000 Ac
0.1666 0.8334 0.5000 Pr
0.8334 0.1666 0.5000 Pr
0.5000 0.5000 0.5000 Dy
0.1014 0.4237 0.2701 S
0.2560 0.2560 0.7344 S
0.4237 0.1014 0.2701 S
0.5763 0.8986 0.7299 S
0.7440 0.7440 0.2656 S
0.8986 0.5763 0.7299 S
```

Summary:
Its spin magnetization is 0.00 μB/f.u. For the volume, the calculation gives 25.67 Å³/atom. As for the calculated density: 7.10 g/cm3. Its crystal system is monoclinic. Its final energy is -6.27 eV per atom.


[11]
Computed, not measured: a relaxed AcPrDy4S8 crystal at the PBE level of DFT.

The structure in POSCAR format:
```
AcPrDy4S8
1.0
4.0916 2.3623 6.7889
-4.0916 2.3623 6.7889
0.0000 -4.7246 6.7889
Ac Pr Dy S
1 1 4 8
direct
0.0000 0.0000 0.0000 Ac
0.3761 0.3761 0.3761 Pr
0.3756 0.3756 0.8673 Dy
0.3756 0.8673 0.3756 Dy
0.7478 0.7478 0.7478 Dy
0.8673 0.3756 0.3756 Dy
0.1319 0.1319 0.5814 S
0.1319 0.5814 0.1319 S
0.1379 0.6259 0.6259 S
0.1395 0.1395 0.1395 S
0.5814 0.1319 0.1319 S
0.6164 0.6164 0.6164 S
0.6259 0.1379 0.6259 S
0.6259 0.6259 0.1379 S
```

Summary:
Its spin magnetization is 0.00 μB/f.u. For the volume, the calculation gives 28.12 Å³/atom. As for the calculated density: 5.38 g/cm3. Its crystal system is trigonal. Its final energy is -6.23 eV per atom.


[12]
Computed, not measured: a relaxed Ac2PrDySb4 crystal at the PBE level of DFT.

The structure in POSCAR format:
```
Ac2PrDySb4
1.0
8.0296 0.0000 0.0000
0.0000 4.6397 0.0000
-2.6767 0.0000 7.5752
Ac Pr Dy Sb
2 1 1 4
direct
0.0000 0.0000 0.0000 Ac
0.5000 0.5000 0.0000 Ac
0.0000 0.5000 0.5000 Pr
0.5000 0.0000 0.5000 Dy
0.2496 0.0000 0.7337 Sb
0.2614 0.5000 0.2696 Sb
0.7386 0.5000 0.7304 Sb
0.7504 0.0000 0.2663 Sb
```

Summary:
Its spin magnetization is 0.00 μB/f.u. For the volume, the calculation gives 35.28 Å³/atom. As for the calculated density: 7.32 g/cm3. Its crystal system is monoclinic. Its final energy is -5.43 eV per atom.


[13]
Computed, not measured: a relaxed AcPr2DySb4 crystal at the PBE level of DFT.

The structure in POSCAR format:
```
AcPr2DySb4
1.0
7.9291 0.0000 0.0000
0.0000 4.5843 0.0000
-2.6378 0.0000 7.4852
Ac Pr Dy Sb
1 2 1 4
direct
0.0000 0.0000 0.0000 Ac
0.0000 0.5000 0.5000 Pr
0.5000 0.0000 0.5000 Pr
0.5000 0.5000 0.0000 Dy
0.2614 0.0000 0.7533 Sb
0.2622 0.5000 0.2546 Sb
0.7378 0.5000 0.7454 Sb
0.7386 0.0000 0.2467 Sb
```

Summary:
Its spin magnetization is 0.00 μB/f.u. For the volume, the calculation gives 34.01 Å³/atom. As for the calculated density: 7.07 g/cm3. Its crystal system is monoclinic. Its final energy is -5.50 eV per atom.


[14]
Computed, not measured: a relaxed AcPrDySc crystal at the PBE level of DFT.

The structure in POSCAR format:
```
AcPrDySc
1.0
0.0000 4.0782 4.0782
4.0782 0.0000 4.0782
4.0782 4.0782 0.0000
Ac Pr Dy Sc
1 1 1 1
direct
0.0000 0.0000 0.0000 Ac
0.5000 0.5000 0.5000 Pr
0.2500 0.2500 0.2500 Dy
0.7500 0.7500 0.7500 Sc
```

Summary:
Its spin magnetization is 0.00 μB/f.u. For the volume, the calculation gives 33.91 Å³/atom. As for the calculated density: 7.04 g/cm3. Its crystal system is cubic. Its final energy is -4.85 eV per atom.


[15]
Computed, not measured: a relaxed AcPrDy2Se4 crystal at the PBE level of DFT.

The structure in POSCAR format:
```
AcPrDy2Se4
1.0
7.1759 0.0000 0.0000
0.0000 4.1253 0.0000
-2.3801 0.0000 7.1942
Ac Pr Dy Se
1 1 2 4
direct
0.0000 0.0000 0.0000 Ac
0.5000 0.5000 0.0000 Pr
0.0000 0.5000 0.5000 Dy
0.5000 0.0000 0.5000 Dy
0.2462 0.0000 0.7274 Se
0.2631 0.5000 0.2762 Se
0.7369 0.5000 0.7238 Se
0.7538 0.0000 0.2726 Se
```

Summary:
Its spin magnetization is 0.00 μB/f.u. For the volume, the calculation gives 26.62 Å³/atom. As for the calculated density: 7.87 g/cm3. Its crystal system is monoclinic. Its final energy is -5.80 eV per atom.


[16]
Computed, not measured: a relaxed Ac3PrDy2Se6 crystal at the PBE level of DFT.

The structure in POSCAR format:
```
Ac3PrDy2Se6
1.0
3.6653 -6.3697 0.0000
3.6653 6.3697 0.0000
-2.4600 0.0000 7.2312
Ac Pr Dy Se
3 1 2 6
direct
0.0000 0.0000 0.0000 Ac
0.3379 0.6621 0.0000 Ac
0.6621 0.3379 0.0000 Ac
0.5000 0.5000 0.5000 Pr
0.1669 0.8331 0.5000 Dy
0.8331 0.1669 0.5000 Dy
0.0804 0.4244 0.2730 Se
0.2299 0.2299 0.7223 Se
0.4244 0.0804 0.2730 Se
0.5756 0.9196 0.7270 Se
0.7701 0.7701 0.2777 Se
0.9196 0.5756 0.7270 Se
```

Summary:
Its spin magnetization is 0.00 μB/f.u. For the volume, the calculation gives 28.14 Å³/atom. As for the calculated density: 7.97 g/cm3. Its crystal system is monoclinic. Its final energy is -5.75 eV per atom.


[17]
Computed, not measured: a relaxed Ac2PrDySe4 crystal at the PBE level of DFT.

The structure in POSCAR format:
```
Ac2PrDySe4
1.0
7.3943 0.0000 0.0000
0.0000 4.2268 0.0000
-2.4238 0.0000 7.2894
Ac Pr Dy Se
2 1 1 4
direct
0.0000 0.0000 0.0000 Ac
0.5000 0.5000 0.0000 Ac
0.0000 0.5000 0.5000 Pr
0.5000 0.0000 0.5000 Dy
0.2520 0.0000 0.7310 Se
0.2666 0.5000 0.2748 Se
0.7334 0.5000 0.7252 Se
0.7480 0.0000 0.2690 Se
```

Summary:
Its spin magnetization is 0.00 μB/f.u. For the volume, the calculation gives 28.48 Å³/atom. As for the calculated density: 7.82 g/cm3. Its crystal system is monoclinic. Its final energy is -5.76 eV per atom.


[18]
Computed, not measured: a relaxed AcPrDy2Se6 crystal at the PBE level of DFT.

The structure in POSCAR format:
```
AcPrDy2Se6
1.0
3.7389 2.1587 6.5144
-3.7389 2.1587 6.5144
0.0000 -4.3173 6.5144
Ac Pr Dy Se
1 1 2 6
direct
0.0000 0.0000 0.0000 Ac
0.4931 0.4931 0.4931 Pr
0.2891 0.2891 0.2891 Dy
0.7923 0.7923 0.7923 Dy
0.0718 0.6543 0.4300 Se
0.1746 0.5717 0.9097 Se
0.4300 0.0718 0.6543 Se
0.5717 0.9097 0.1746 Se
0.6543 0.4300 0.0718 Se
0.9097 0.1746 0.5717 Se
```

Summary:
Its spin magnetization is 0.00 μB/f.u. For the volume, the calculation gives 31.55 Å³/atom. As for the calculated density: 6.14 g/cm3. Its crystal system is trigonal. Its final energy is -5.78 eV per atom.


[19]
Computed, not measured: a relaxed AcPr2DySe4 crystal at the PBE level of DFT.

The structure in POSCAR format:
```
AcPr2DySe4
1.0
7.3554 0.0000 0.0000
0.0000 4.2051 0.0000
-2.4070 0.0000 7.1472
Ac Pr Dy Se
1 2 1 4
direct
0.0000 0.0000 0.0000 Ac
0.5000 0.0000 0.5000 Pr
0.5000 0.5000 0.0000 Pr
0.0000 0.5000 0.5000 Dy
0.2405 0.0000 0.7331 Se
0.2512 0.5000 0.2649 Se
0.7488 0.5000 0.7351 Se
0.7595 0.0000 0.2669 Se
```

Summary:
Its spin magnetization is 0.00 μB/f.u. For the volume, the calculation gives 27.63 Å³/atom. As for the calculated density: 7.42 g/cm3. Its crystal system is monoclinic. Its final energy is -5.83 eV per atom.


[20]
Computed, not measured: a relaxed Ac5PrSm2Dy crystal at the PBE level of DFT.

The structure in POSCAR format:
```
Ac5PrSm2Dy
1.0
2.9794 -10.9645 0.0000
2.9794 10.9645 0.0000
0.0000 0.0000 11.2447
Ac Pr Sm Dy
10 2 4 2
direct
0.0100 0.9900 0.5000 Ac
0.2760 0.7240 0.8117 Ac
0.2968 0.7032 0.1931 Ac
0.3724 0.6276 0.5074 Ac
0.4880 0.5120 0.2374 Ac
0.5120 0.4880 0.7374 Ac
0.6276 0.3724 0.0074 Ac
0.7032 0.2968 0.6931 Ac
0.7240 0.2760 0.3117 Ac
0.9900 0.0100 0.0000 Ac
0.4052 0.5948 0.9582 Pr
0.5948 0.4052 0.4582 Pr
0.1138 0.8862 0.7856 Sm
0.1162 0.8838 0.2345 Sm
0.8838 0.1162 0.7345 Sm
0.8862 0.1138 0.2856 Sm
0.1910 0.8090 0.5030 Dy
0.8090 0.1910 0.0030 Dy
```

Summary:
Its spin magnetization is 0.00 μB/f.u. For the volume, the calculation gives 40.82 Å³/atom. As for the calculated density: 7.86 g/cm3. Its crystal system is orthorhombic. Its final energy is -4.22 eV per atom.